1:
# TlPdPt3 PBE optimized geometry
data_TlPdPt3
_chemical_formula_sum 'Tl1 Pd1 Pt3'
_cell_length_a 4.901
_cell_length_b 4.901
_cell_length_c 4.901
_cell_angle_alpha 90.00
_cell_angle_beta 90.00
_cell_angle_gamma 90.00
_space_group_name_H-M_alt 'P m -3 m'
_space_group_IT_number 221
_space_group_name_Hall '-P 4 2 3'
loop_
_atom_site_label
_atom_site_fract_x
_atom_site_fract_y
_atom_site_fract_z
_atom_site_occupancy
Tl1 0.000 0.000 0.000 1
Pd1 0.500 0.500 0.500 1
Pt1 0.000 0.500 0.500 1
# V: 23.55 Å³/atom
# Total moment: 0.0 Bohr magnetons per cell

2:
# TlPdPt3 PBE optimized geometry
data_TlPdPt3
_chemical_formula_sum 'Tl1 Pd1 Pt3'
_cell_length_a 5.006
_cell_length_b 5.006
_cell_length_c 5.006
_cell_angle_alpha 90.00
_cell_angle_beta 90.00
_cell_angle_gamma 90.00
_space_group_name_H-M_alt 'P m -3 m'
_space_group_IT_number 221
_space_group_name_Hall '-P 4 2 3'
loop_
_atom_site_label
_atom_site_fract_x
_atom_site_fract_y
_atom_site_fract_z
_atom_site_occupancy
Tl1 0.000 0.000 0.000 1
Pd1 0.500 0.500 0.500 1
Pt1 0.000 0.000 0.500 1
# V: 25.09 Å³/atom
# Total moment: 0.0 Bohr magnetons per cell

On energetic grounds, 1 is preferred over the next structure by 483 meV/atom.

1:
# Tl3Pd6Pt PBE optimized geometry
data_Tl3Pd6Pt
_chemical_formula_sum 'Tl12 Pd24 Pt4'
_cell_length_a 9.404
_cell_length_b 15.224
_cell_length_c 5.102
_cell_angle_alpha 90.00
_cell_angle_beta 90.00
_cell_angle_gamma 90.00
_space_group_name_H-M_alt 'C m c 21'
_space_group_IT_number 36
loop_
_space_group_symop_operation_xyz
'x,y,z'
'-x,-y,z+1/2'
'-x,y,z'
'x,-y,z+1/2'
'x+1/2,y+1/2,z'
'-x+1/2,-y+1/2,z+1/2'
'-x+1/2,y+1/2,z'
'x+1/2,-y+1/2,z+1/2'
loop_
_atom_site_label
_atom_site_fract_x
_atom_site_fract_y
_atom_site_fract_z
_atom_site_occupancy
Tl1 0.000 0.105 0.000 1
Tl2 0.168 0.397 0.651 1
Pd1 0.000 0.208 0.452 1
Pd2 0.000 0.444 0.186 1
Pd3 0.160 0.048 0.564 1
Pd4 0.244 0.288 0.235 1
Pt1 0.000 0.283 0.949 1
# V: 18.26 Å³/atom
# Total moment: 0.0 Bohr magnetons per cell

2:
# Tl3Pd6Pt PBE optimized geometry
data_Tl3Pd6Pt
_chemical_formula_sum 'Tl6 Pd12 Pt2'
_cell_length_a 8.172
_cell_length_b 4.686
_cell_length_c 9.870
_cell_angle_alpha 90.00
_cell_angle_beta 109.97
_cell_angle_gamma 90.00
_space_group_name_H-M_alt 'P 1 21/m 1'
_space_group_IT_number 11
loop_
_space_group_symop_operation_xyz
'x,y,z'
'-x,-y,-z'
'-x,y+1/2,-z'
'x,-y+1/2,z'
loop_
_atom_site_label
_atom_site_fract_x
_atom_site_fract_y
_atom_site_fract_z
_atom_site_occupancy
Tl1 0.054 0.250 0.230 1
Tl2 0.307 0.250 0.030 1
Tl3 0.333 0.750 0.374 1
Pd1 0.111 0.750 0.078 1
Pd2 0.121 0.250 0.733 1
Pd3 0.285 0.250 0.530 1
Pd4 0.309 0.750 0.859 1
Pd5 0.488 0.750 0.667 1
Pd6 0.500 0.250 0.834 1
Pt1 0.097 0.750 0.549 1
# V: 17.76 Å³/atom
# Total moment: 0.0 Bohr magnetons per cell

On energetic grounds, 2 is preferred over the next structure by 74 meV/atom.

1:
# Tl2Pd4Pt PBE optimized geometry
data_Tl2Pd4Pt
_chemical_formula_sum 'Tl8 Pd16 Pt4'
_cell_length_a 8.110
_cell_length_b 8.110
_cell_length_c 7.954
_cell_angle_alpha 90.00
_cell_angle_beta 90.00
_cell_angle_gamma 90.00
_space_group_name_H-M_alt 'I -4 2 d'
_space_group_IT_number 122
_space_group_name_Hall 'I -4 2bw'
loop_
_atom_site_label
_atom_site_fract_x
_atom_site_fract_y
_atom_site_fract_z
_atom_site_occupancy
Tl1 0.120 0.250 0.125 1
Pd1 0.079 0.170 0.786 1
Pt1 0.000 0.000 0.500 1
# V: 18.68 Å³/atom
# Total moment: 0.0 Bohr magnetons per cell

2:
# Tl2Pd4Pt PBE optimized geometry
data_Tl2Pd4Pt
_chemical_formula_sum 'Tl4 Pd8 Pt2'
_cell_length_a 7.743
_cell_length_b 8.269
_cell_length_c 4.094
_cell_angle_alpha 90.00
_cell_angle_beta 90.00
_cell_angle_gamma 90.00
_space_group_name_H-M_alt 'C m m m'
_space_group_IT_number 65
_space_group_name_Hall '-C 2 2'
loop_
_atom_site_label
_atom_site_fract_x
_atom_site_fract_y
_atom_site_fract_z
_atom_site_occupancy
Tl1 0.222 0.000 0.000 1
Pd1 0.000 0.265 0.000 1
Pd2 0.250 0.250 0.500 1
Pt1 0.000 0.500 0.500 1
# V: 18.72 Å³/atom
# Total moment: 0.0 Bohr magnetons per cell

On energetic grounds, 2 is preferred over the next structure by 104 meV/atom.

1:
# Tm2Pd8Pt PBE optimized geometry
data_Tm2Pd8Pt
_chemical_formula_sum 'Tm4 Pd16 Pt2'
_cell_length_a 14.429
_cell_length_b 4.192
_cell_length_c 6.486
_cell_angle_alpha 90.00
_cell_angle_beta 107.92
_cell_angle_gamma 90.00
_space_group_name_H-M_alt 'C 1 2/m 1'
_space_group_IT_number 12
loop_
_space_group_symop_operation_xyz
'x,y,z'
'-x,-y,-z'
'-x,y,-z'
'x,-y,z'
'x+1/2,y+1/2,z'
'-x+1/2,-y+1/2,-z'
'-x+1/2,y+1/2,-z'
'x+1/2,-y+1/2,z'
loop_
_atom_site_label
_atom_site_fract_x
_atom_site_fract_y
_atom_site_fract_z
_atom_site_occupancy
Tm1 0.217 0.000 0.166 1
Pd1 0.036 0.000 0.228 1
Pd2 0.093 0.500 0.941 1
Pd3 0.142 0.000 0.682 1
Pd4 0.170 0.500 0.401 1
Pt1 0.000 0.500 0.500 1
# V: 16.97 Å³/atom
# Total moment: 0.0 Bohr magnetons per cell

2:
# Tm2Pd8Pt PBE optimized geometry
data_Tm2Pd8Pt
_chemical_formula_sum 'Tm4 Pd16 Pt2'
_cell_length_a 8.031
_cell_length_b 10.688
_cell_length_c 4.914
_cell_angle_alpha 90.00
_cell_angle_beta 114.93
_cell_angle_gamma 90.00
_space_group_name_H-M_alt 'C 1 2/m 1'
_space_group_IT_number 12
loop_
_space_group_symop_operation_xyz
'x,y,z'
'-x,-y,-z'
'-x,y,-z'
'x,-y,z'
'x+1/2,y+1/2,z'
'-x+1/2,-y+1/2,-z'
'-x+1/2,y+1/2,-z'
'x+1/2,-y+1/2,z'
loop_
_atom_site_label
_atom_site_fract_x
_atom_site_fract_y
_atom_site_fract_z
_atom_site_occupancy
Tm1 0.000 0.227 0.000 1
Pd1 0.000 0.366 0.500 1
Pd2 0.189 0.133 0.610 1
Pd3 0.192 0.000 0.097 1
Pt1 0.000 0.500 0.000 1
# V: 17.39 Å³/atom
# Total moment: 0.0 Bohr magnetons per cell

On energetic grounds, 2 is preferred over the next structure by 21 meV/atom.